Below is crystalline BeRe2Si at its relaxed geometry, with properties calculated at the PBE level.

Results
The formation energy without anion corrections is 0.143 eV per atom. The density of states at the Fermi level is 1.885 states/eV per cell. For the total energy, the calculation gives -33.47 eV/cell. As for the space-group type: Pmmm (47). As for the magnetization: 0.00 μB per cell.

```
data_BeRe2Si
_symmetry_space_group_name_H-M 'P 1'
_symmetry_Int_Tables_number 1
_symmetry_space_group_name_Hall 'P 1'
_cell_length_a 2.9074
_cell_length_b 4.5729
_cell_length_c 3.9725
_cell_angle_alpha 90.00
_cell_angle_beta 90.00
_cell_angle_gamma 90.00
loop_
_atom_site_label
_atom_site_fract_x
_atom_site_fract_y
_atom_site_fract_z
Si1 0.5000 0.0000 0.5000
Be1 0.0000 0.5000 0.5000
Re1 0.5000 0.5000 0.0000
Re2 0.0000 0.0000 0.0000
```